(1)
# CdPbCl3

A relaxed structure of CdPbCl3 (PBE-GGA, Alexandria via LeMat-Bulk).

## Properties
- energy above the lowest structure with this stoichiometry (meV per atom) = 0
- magnetic moment (μB/cell) = 0.0
- space group = Pm-3m (221)

Unit cell a=5.2266 b=5.2266 c=5.2266 alpha=90.00 beta=90.00 gamma=90.00
Fractional positions:
Cd1 0.0000 0.0000 0.0000
Pb1 0.5000 0.5000 0.5000
Cl1 0.0000 0.0000 0.5000
Cl2 0.0000 0.5000 0.0000
Cl3 0.5000 0.0000 0.0000

=====

(2)
# Th5SiP4

A relaxed structure of Th5SiP4 (PBE-GGA, Alexandria via LeMat-Bulk).

## Properties
- E_tot (eV for the cell shown) = -77.83
- magnetic moment (μB/cell) = 0.0
- space group = I4/m (87)

Unit cell a=7.2218 b=7.2218 c=7.2218 alpha=99.59 beta=99.59 gamma=131.83
Fractional positions:
Th1 0.0000 0.0000 0.0000
Th2 0.1981 0.6008 0.7989
Th3 0.3992 0.1981 0.5973
Th4 0.6008 0.8019 0.4027
Th5 0.8019 0.3992 0.2011
Si1 0.5000 0.5000 0.0000
P1 0.1009 0.3004 0.4013
P2 0.3004 0.8991 0.1996
P3 0.6996 0.1009 0.8004
P4 0.8991 0.6996 0.5987

=====

(3)
# MnPb

A relaxed structure of MnPb (PBE-GGA, Alexandria via LeMat-Bulk).

## Properties
- magnetic moment (μB/cell) = 19.8
- ΔE_f (eV per atom) = 1.0313
- space group = Pm-3n (223)

Unit cell a=7.6824 b=7.6824 c=7.6824 alpha=90.00 beta=90.00 gamma=90.00
Fractional positions:
Mn1 0.0000 0.2500 0.5000
Mn2 0.0000 0.7500 0.5000
Mn3 0.2500 0.5000 0.0000
Mn4 0.5000 0.0000 0.2500
Mn5 0.5000 0.0000 0.7500
Mn6 0.7500 0.5000 0.0000
Pb1 0.0000 0.5000 0.2500
Pb2 0.0000 0.5000 0.7500
Pb3 0.2500 0.0000 0.5000
Pb4 0.5000 0.2500 0.0000
Pb5 0.5000 0.7500 0.0000
Pb6 0.7500 0.0000 0.5000

=====

(4)
# ZnAuSe2

A relaxed structure of ZnAuSe2 (PBE-GGA, Alexandria via LeMat-Bulk).

## Properties
- E_tot (eV for the cell shown) = -10.97
- magnetic moment (μB/cell) = 0.0
- space group = Immm (71)

Unit cell a=7.8289 b=7.8289 c=7.8289 alpha=153.68 beta=152.72 gamma=38.27
Fractional positions:
Zn1 0.0000 0.0000 0.0000
Au1 0.5000 0.5000 0.0000
Se1 0.2266 0.7266 0.5000
Se2 0.7734 0.2734 0.5000

=====

(5)
# TlInBr3

A relaxed structure of TlInBr3 (PBE-GGA, Alexandria via LeMat-Bulk).

## Properties
- E_tot (eV for the cell shown) = -12.74
- magnetic moment (μB/cell) = 0.0
- space group = Pm-3m (221)

Unit cell a=5.7871 b=5.7871 c=5.7871 alpha=90.00 beta=90.00 gamma=90.00
Fractional positions:
Tl1 0.0000 0.0000 0.0000
In1 0.5000 0.5000 0.5000
Br1 0.0000 0.0000 0.5000
Br2 0.0000 0.5000 0.0000
Br3 0.5000 0.0000 0.0000

=====

(6)
# MnZn

A relaxed structure of MnZn (PBE-GGA, Alexandria via LeMat-Bulk).

## Properties
- magnetic moment (μB/cell) = 6.4
- ΔE_f (eV per atom) = 0.1714
- space group = I4_1/amd (141)

Unit cell a=4.8088 b=4.8088 c=4.8088 alpha=134.42 beta=134.42 gamma=66.44
Fractional positions:
Mn1 0.3750 0.6250 0.7500
Mn2 0.6250 0.3750 0.2500
Zn1 0.1250 0.8750 0.2500
Zn2 0.8750 0.1250 0.7500

=====

(7)
# ReSb2Te

A relaxed structure of ReSb2Te (PBE-GGA, Alexandria via LeMat-Bulk).

## Properties
- E_tot (eV for the cell shown) = -22.80
- magnetic moment (μB/cell) = 0.0
- space group = P2/m (10)

Unit cell a=3.2311 b=3.2310 c=9.4734 alpha=90.00 beta=90.16 gamma=90.00
Fractional positions:
Re1 0.0000 0.0000 0.0000
Sb1 0.4986 0.5000 0.8235
Sb2 0.5014 0.5000 0.1765
Te1 0.0000 0.0000 0.5000

=====

(8)
# La2TlSi

A relaxed structure of La2TlSi (PBE-GGA, Alexandria via LeMat-Bulk).

## Properties
- E_tot (eV for the cell shown) = -18.14
- magnetic moment (μB/cell) = 1.8
- space group = R3m (160)

Unit cell a=8.3699 b=8.3699 c=8.3699 alpha=30.08 beta=30.08 gamma=30.08
Fractional positions:
La1 0.0000 0.0000 0.0000
La2 0.2022 0.2022 0.2022
Tl1 0.4489 0.4489 0.4489
Si1 0.7378 0.7378 0.7378